Record 1
# CdFeRh PBE optimized geometry
data_CdFeRh
_space_group_name_H-M_alt 'P 1'
_space_group_IT_number 1
_space_group_name_Hall 'P 1'
_cell_length_a 11.435
_cell_length_b 11.435
_cell_length_c 11.435
_cell_angle_alpha 165.14
_cell_angle_beta 165.14
_cell_angle_gamma 21.07
loop_
_atom_site_label
_atom_site_fract_x
_atom_site_fract_y
_atom_site_fract_z
Cd1 0.065 0.065 0.000
Cd2 0.935 0.935 0.000
Fe1 0.218 0.218 0.000
Fe2 0.782 0.782 0.000
Rh1 0.347 0.347 0.000
Rh2 0.653 0.653 0.000
# Formation energy   -51 meV/atom
# DOS(E_F)   2.0 states/eV/f.u.

***

Record 2
# CdFe2Rh PBE optimized geometry
data_CdFe2Rh
_space_group_name_H-M_alt 'P 1'
_space_group_IT_number 1
_space_group_name_Hall 'P 1'
_cell_length_a 4.722
_cell_length_b 4.722
_cell_length_c 2.773
_cell_angle_alpha 90.00
_cell_angle_beta 90.00
_cell_angle_gamma 109.95
loop_
_atom_site_label
_atom_site_fract_x
_atom_site_fract_y
_atom_site_fract_z
Cd1 0.000 0.000 0.000
Fe1 0.000 0.500 0.500
Fe2 0.500 0.000 0.500
Rh1 0.500 0.500 0.000
# Formation energy   190 meV/atom
# DOS(E_F)   2.9 states/eV/f.u.

***

Record 3
# Cd2FeRh PBE optimized geometry
data_Cd2FeRh
_space_group_name_H-M_alt 'P 1'
_space_group_IT_number 1
_space_group_name_Hall 'P 1'
_cell_length_a 5.044
_cell_length_b 5.044
_cell_length_c 4.681
_cell_angle_alpha 105.60
_cell_angle_beta 105.60
_cell_angle_gamma 35.88
loop_
_atom_site_label
_atom_site_fract_x
_atom_site_fract_y
_atom_site_fract_z
Cd1 0.249 0.249 0.249
Cd2 0.751 0.751 0.751
Fe1 0.500 0.500 0.000
Rh1 0.000 0.000 0.500
# Formation energy   181 meV/atom
# DOS(E_F)   2.4 states/eV/f.u.

***

Record 4
# CdFeRh3 PBE optimized geometry
data_CdFeRh3
_space_group_name_H-M_alt 'P 1'
_space_group_IT_number 1
_space_group_name_Hall 'P 1'
_cell_length_a 4.507
_cell_length_b 4.507
_cell_length_c 4.507
_cell_angle_alpha 90.00
_cell_angle_beta 90.00
_cell_angle_gamma 90.00
loop_
_atom_site_label
_atom_site_fract_x
_atom_site_fract_y
_atom_site_fract_z
Cd1 0.000 0.000 0.000
Fe1 0.500 0.500 0.500
Rh1 0.000 0.500 0.500
Rh2 0.500 0.000 0.500
Rh3 0.500 0.500 0.000
# Formation energy   770 meV/atom
# DOS(E_F)   5.6 states/eV/f.u.

***

Record 5
# CdFe2Rh PBE optimized geometry
data_CdFe2Rh
_space_group_name_H-M_alt 'P 1'
_space_group_IT_number 1
_space_group_name_Hall 'P 1'
_cell_length_a 5.652
_cell_length_b 5.652
_cell_length_c 5.652
_cell_angle_alpha 102.73
_cell_angle_beta 102.73
_cell_angle_gamma 124.00
loop_
_atom_site_label
_atom_site_fract_x
_atom_site_fract_y
_atom_site_fract_z
Cd1 0.000 0.000 0.000
Cd2 0.750 0.250 0.500
Fe1 0.157 0.625 0.032
Fe2 0.375 0.407 0.532
Fe3 0.593 0.125 0.968
Fe4 0.875 0.843 0.468
Rh1 0.250 0.750 0.500
Rh2 0.500 0.500 0.000
# Formation energy   513 meV/atom
# DOS(E_F)   3.9 states/eV/f.u.

***

Record 6
# CdFe2Rh PBE optimized geometry
data_CdFe2Rh
_space_group_name_H-M_alt 'P 1'
_space_group_IT_number 1
_space_group_name_Hall 'P 1'
_cell_length_a 3.841
_cell_length_b 3.841
_cell_length_c 3.972
_cell_angle_alpha 90.00
_cell_angle_beta 90.00
_cell_angle_gamma 90.00
loop_
_atom_site_label
_atom_site_fract_x
_atom_site_fract_y
_atom_site_fract_z
Cd1 0.000 0.000 0.000
Fe1 0.000 0.500 0.500
Fe2 0.500 0.000 0.500
Rh1 0.500 0.500 0.000
# Formation energy   144 meV/atom
# DOS(E_F)   2.7 states/eV/f.u.

***

Record 7
# CdFe4Rh5 PBE optimized geometry
data_CdFe4Rh5
_space_group_name_H-M_alt 'P 1'
_space_group_IT_number 1
_space_group_name_Hall 'P 1'
_cell_length_a 3.024
_cell_length_b 3.024
_cell_length_c 15.636
_cell_angle_alpha 90.00
_cell_angle_beta 90.00
_cell_angle_gamma 90.00
loop_
_atom_site_label
_atom_site_fract_x
_atom_site_fract_y
_atom_site_fract_z
Cd1 0.000 0.000 0.000
Fe1 0.000 0.000 0.210
Fe2 0.000 0.000 0.404
Fe3 0.000 0.000 0.596
Fe4 0.000 0.000 0.790
Rh1 0.500 0.500 0.121
Rh2 0.500 0.500 0.309
Rh3 0.500 0.500 0.500
Rh4 0.500 0.500 0.691
Rh5 0.500 0.500 0.879
# Formation energy   -82 meV/atom
# DOS(E_F)   5.3 states/eV/f.u.

***

Record 8
# Cd2FeRh PBE optimized geometry
data_Cd2FeRh
_space_group_name_H-M_alt 'P 1'
_space_group_IT_number 1
_space_group_name_Hall 'P 1'
_cell_length_a 9.566
_cell_length_b 9.566
_cell_length_c 9.566
_cell_angle_alpha 17.42
_cell_angle_beta 17.42
_cell_angle_gamma 17.42
loop_
_atom_site_label
_atom_site_fract_x
_atom_site_fract_y
_atom_site_fract_z
Cd1 0.000 0.000 0.000
Cd2 0.233 0.233 0.233
Fe1 0.484 0.484 0.484
Rh1 0.750 0.750 0.750
# Formation energy   132 meV/atom
# DOS(E_F)   4.1 states/eV/f.u.